(1)
A geometry-optimized CoPtCl2 structure. Source: the Alexandria database, functional GGA-PBE.

abc: 6.493 6.493 6.493
angles: 128.09 128.09 76.48
Positions (direct):
Co (0.000, 0.000, 0.000)
Co (0.750, 0.250, 0.500)
Pt (0.250, 0.750, 0.500)
Pt (0.500, 0.500, 0.000)
Cl (0.090, 0.625, 0.965)
Cl (0.375, 0.340, 0.465)
Cl (0.660, 0.125, 0.035)
Cl (0.875, 0.910, 0.535)

Summary:
**Uncorrected formation energy**: 0.38 eV/atom
**N(E_F)**: 10.18 states/eV per cell
**Offset from the most stable computed form**: 472 meV per atom
**Space group**: No. 122


(2)
A geometry-optimized MgCdAg2P structure. Source: the Alexandria database, functional GGA-PBE.

abc: 4.891 4.891 5.135
angles: 90.00 90.00 90.00
Positions (direct):
Mg (0.000, 0.000, 0.000)
Cd (0.000, 0.000, 0.500)
Ag (0.000, 0.500, 0.000)
Ag (0.500, 0.000, 0.000)
P (0.500, 0.500, 0.500)

Summary:
**N(E_F)**: 3.32 states/eV per cell
**Calculated formation energy**: 918 meV/atom
**Space group**: No. 123


(3)
A geometry-optimized Sb2MoCl structure. Source: the Alexandria database, functional GGA-PBE.

abc: 3.185 3.185 11.963
angles: 90.00 90.00 122.11
Positions (direct):
Sb (0.000, 0.000, 0.000)
Sb (0.500, 0.500, 0.307)
Mo (0.000, 0.000, 0.509)
Cl (0.500, 0.500, 0.665)

Summary:
**Uncorrected formation energy**: 0.25 eV/atom
**N(E_F)**: 3.10 states/eV per cell
**Offset from the most stable computed form**: 266 meV per atom
**Space group**: No. 35


(4)
A geometry-optimized Nd2CoC2N6 structure. Source: the Alexandria database, functional GGA-PBE.

abc: 5.905 5.905 5.905
angles: 51.20 51.20 51.20
Positions (direct):
Nd (0.221, 0.221, 0.221)
Nd (0.779, 0.779, 0.779)
Co (0.000, 0.000, 0.000)
C (0.408, 0.408, 0.408)
C (0.592, 0.592, 0.592)
N (0.259, 0.259, 0.723)
N (0.259, 0.723, 0.259)
N (0.277, 0.741, 0.741)
N (0.723, 0.259, 0.259)
N (0.741, 0.277, 0.741)
N (0.741, 0.741, 0.277)

Summary:
**Uncorrected formation energy**: -0.34 eV/atom
**N(E_F)**: 5.60 states/eV per cell
**Space group**: No. 166


(5)
A geometry-optimized YCo2Re structure. Source: the Alexandria database, functional GGA-PBE.

abc: 4.522 4.522 5.118
angles: 101.43 101.43 39.64
Positions (direct):
Y (0.000, 0.000, 0.000)
Co (0.237, 0.237, 0.719)
Co (0.502, 0.502, 0.497)
Re (0.776, 0.776, 0.385)

Summary:
**N(E_F)**: 4.12 states/eV per cell
**Offset from the most stable computed form**: 289 meV per atom
**Calculated formation energy**: 257 meV/atom
**Space group**: No. 8


(6)
A geometry-optimized TaTl2ZnB structure. Source: the Alexandria database, functional GGA-PBE.

abc: 5.640 5.640 4.276
angles: 90.00 90.00 90.00
Positions (direct):
Ta (0.000, 0.000, 0.000)
Tl (0.000, 0.500, 0.000)
Tl (0.500, 0.000, 0.000)
Zn (0.500, 0.500, 0.500)
B (0.000, 0.000, 0.500)

Summary:
**N(E_F)**: 4.05 states/eV per cell
**Calculated formation energy**: 1021 meV/atom
**Space group**: No. 123


(7)
A geometry-optimized CsNa2Br structure. Source: the Alexandria database, functional GGA-PBE.

abc: 6.392 6.392 6.392
angles: 60.00 60.00 60.00
Positions (direct):
Cs (0.000, 0.000, 0.000)
Na (0.250, 0.250, 0.250)
Na (0.750, 0.750, 0.750)
Br (0.500, 0.500, 0.500)

Summary:
**Uncorrected formation energy**: -0.35 eV/atom
**N(E_F)**: 3.64 states/eV per cell
**Offset from the most stable computed form**: 221 meV per atom
**Space group**: No. 225


(8)
A geometry-optimized AlAu2Se structure. Source: the Alexandria database, functional GGA-PBE.

abc: 2.941 2.941 8.870
angles: 90.00 90.00 92.43
Positions (direct):
Al (0.000, 0.000, 0.000)
Au (0.500, 0.500, 0.195)
Au (0.500, 0.500, 0.805)
Se (0.000, 0.000, 0.500)

Summary:
**Uncorrected formation energy**: -0.02 eV/atom
**N(E_F)**: 2.37 states/eV per cell
**Space group**: No. 65


(9)
A geometry-optimized YLuTlCo structure. Source: the Alexandria database, functional GGA-PBE.

abc: 5.058 5.058 5.058
angles: 60.00 60.00 60.00
Positions (direct):
Y (0.000, 0.000, 0.000)
Lu (0.500, 0.500, 0.500)
Tl (0.250, 0.250, 0.250)
Co (0.750, 0.750, 0.750)

Summary:
**N(E_F)**: 2.54 states/eV per cell
**Calculated formation energy**: -136 meV/atom
**Space group**: No. 216


(10)
A geometry-optimized ZrPb2Br structure. Source: the Alexandria database, functional GGA-PBE.

abc: 3.369 3.369 10.385
angles: 90.00 90.00 103.84
Positions (direct):
Zr (0.000, 0.000, 0.000)
Pb (0.000, 0.000, 0.477)
Pb (0.500, 0.500, 0.220)
Br (0.500, 0.500, 0.820)

Summary:
**Uncorrected formation energy**: -0.26 eV/atom
**N(E_F)**: 3.19 states/eV per cell
**Offset from the most stable computed form**: 82 meV per atom
**Space group**: No. 35


(11)
A geometry-optimized Li2SiPt5 structure. Source: the Alexandria database, functional GGA-PBE.

abc: 5.372 10.372 3.998
angles: 90.00 90.00 90.00
Positions (direct):
Li (0.165, 0.140, 0.000)
Li (0.335, 0.640, 0.000)
Li (0.665, 0.360, 0.000)
Li (0.835, 0.860, 0.000)
Si (0.000, 0.500, 0.500)
Si (0.500, 0.000, 0.500)
Pt (0.000, 0.000, 0.500)
Pt (0.089, 0.734, 0.500)
Pt (0.183, 0.395, 0.000)
Pt (0.317, 0.895, 0.000)
Pt (0.411, 0.234, 0.500)
Pt (0.500, 0.500, 0.500)
Pt (0.589, 0.766, 0.500)
Pt (0.683, 0.105, 0.000)
Pt (0.817, 0.605, 0.000)
Pt (0.911, 0.266, 0.500)

Summary:
**Uncorrected formation energy**: -0.65 eV/atom
**N(E_F)**: 8.66 states/eV per cell
**Space group**: No. 55


(12)
A geometry-optimized TaIr2Cl structure. Source: the Alexandria database, functional GGA-PBE.

abc: 2.959 2.959 7.704
angles: 90.00 90.00 90.00
Positions (direct):
Ta (0.000, 0.000, 0.000)
Ir (0.500, 0.500, 0.227)
Ir (0.500, 0.500, 0.773)
Cl (0.000, 0.000, 0.500)

Summary:
**Uncorrected formation energy**: 0.02 eV/atom
**N(E_F)**: 3.27 states/eV per cell
**Offset from the most stable computed form**: 37 meV per atom
**Space group**: No. 123


N(E_F) of number 2 (MgCdAg2P)? 3.32 states/eV per cell